## GdErMg6 (PBE)

Data for a relaxed GdErMg6 crystal. Values from VASP.

Structure (Quantum ESPRESSO input):
```
&SYSTEM
  ibrav = 0, nat = 8, ntyp = 3
/
ATOMIC_SPECIES
Gd 157.25 Gd.upf
Er 167.26 Er.upf
Mg 24.30 Mg.upf
CELL_PARAMETERS angstrom
5.1656 0.0000 0.0000
0.0000 5.1656 0.0000
0.0000 0.0000 7.3222
ATOMIC_POSITIONS crystal
Gd 0.0000 0.0000 0.0000
Er 0.5000 0.5000 0.5000
Mg 0.0000 0.0000 0.5000
Mg 0.0000 0.5000 0.2524
Mg 0.0000 0.5000 0.7476
Mg 0.5000 0.0000 0.2524
Mg 0.5000 0.0000 0.7476
Mg 0.5000 0.5000 0.0000
```

## Properties
DFT total energy in hartree per atom: -0.08762
ρ in kg/m3: 3997

## Th5Pb4 (PBE)

Data for a relaxed Th5Pb4 crystal. Values from VASP.

Structure (Quantum ESPRESSO input):
```
&SYSTEM
  ibrav = 0, nat = 18, ntyp = 2
/
ATOMIC_SPECIES
Th 232.04 Th.upf
Pb 207.20 Pb.upf
CELL_PARAMETERS angstrom
9.8326 0.0000 0.0000
-4.9163 8.5153 0.0000
0.0000 0.0000 6.6470
ATOMIC_POSITIONS crystal
Th 0.0000 0.2812 0.2500
Th 0.0000 0.7188 0.7500
Th 0.2812 0.0000 0.2500
Th 0.2812 0.2812 0.7500
Th 0.3333 0.6667 0.0000
Th 0.3333 0.6667 0.5000
Th 0.6667 0.3333 0.0000
Th 0.6667 0.3333 0.5000
Th 0.7188 0.0000 0.7500
Th 0.7188 0.7188 0.2500
Pb 0.0000 0.0000 0.0000
Pb 0.0000 0.0000 0.5000
Pb 0.0000 0.3795 0.7500
Pb 0.0000 0.6205 0.2500
Pb 0.3795 0.0000 0.7500
Pb 0.3795 0.3795 0.2500
Pb 0.6205 0.0000 0.2500
Pb 0.6205 0.6205 0.7500
```

## Properties
DFT total energy in hartree per atom: -0.22517
ρ in kg/m3: 11869

## Er6Si2Pd (PBE)

Data for a relaxed Er6Si2Pd crystal. Values from VASP.

Structure (Quantum ESPRESSO input):
```
&SYSTEM
  ibrav = 0, nat = 9, ntyp = 3
/
ATOMIC_SPECIES
Er 167.26 Er.upf
Si 28.09 Si.upf
Pd 106.42 Pd.upf
CELL_PARAMETERS angstrom
7.7498 0.0000 0.0000
-3.8749 6.7115 0.0000
0.0000 0.0000 4.2049
ATOMIC_POSITIONS crystal
Er 0.0000 0.2614 0.0000
Er 0.0000 0.5933 0.5000
Er 0.2614 0.0000 0.0000
Er 0.4067 0.4067 0.5000
Er 0.5933 0.0000 0.5000
Er 0.7386 0.7386 0.0000
Si 0.3333 0.6667 0.0000
Si 0.6667 0.3333 0.0000
Pd 0.0000 0.0000 0.5000
```

## Properties
DFT total energy in hartree per atom: -0.19753
ρ in kg/m3: 8854

## DySi2Ni (PBE)

Data for a relaxed DySi2Ni crystal. Values from VASP.

Structure (Quantum ESPRESSO input):
```
&SYSTEM
  ibrav = 0, nat = 8, ntyp = 3
/
ATOMIC_SPECIES
Dy 162.50 Dy.upf
Si 28.09 Si.upf
Ni 58.69 Ni.upf
CELL_PARAMETERS angstrom
3.9194 0.0000 0.0000
0.0000 5.9308 0.0000
0.0000 0.0000 5.5420
ATOMIC_POSITIONS crystal
Dy 0.0000 0.0982 0.0000
Dy 0.5000 0.9018 0.5000
Si 0.0000 0.2725 0.5093
Si 0.0000 0.6306 0.7498
Si 0.5000 0.3694 0.2498
Si 0.5000 0.7275 0.0093
Ni 0.0000 0.5908 0.2078
Ni 0.5000 0.4092 0.7078
```

## Properties
DFT total energy in hartree per atom: -0.21600
ρ in kg/m3: 7150

## Nb3CoC2 (PBE)

Data for a relaxed Nb3CoC2 crystal. Values from VASP.

Structure (Quantum ESPRESSO input):
```
&SYSTEM
  ibrav = 0, nat = 12, ntyp = 3
/
ATOMIC_SPECIES
Nb 92.91 Nb.upf
Co 58.93 Co.upf
C 12.01 C.upf
CELL_PARAMETERS angstrom
3.1651 0.0000 0.0000
-1.5826 2.7411 0.0000
0.0000 0.0000 17.6827
ATOMIC_POSITIONS crystal
Nb 0.0000 0.0000 0.0000
Nb 0.0000 0.0000 0.5000
Nb 0.3333 0.6667 0.1436
Nb 0.3333 0.6667 0.3564
Nb 0.6667 0.3333 0.6436
Nb 0.6667 0.3333 0.8564
Co 0.0000 0.0000 0.2500
Co 0.0000 0.0000 0.7500
C 0.3333 0.6667 0.5763
C 0.3333 0.6667 0.9237
C 0.6667 0.3333 0.0763
C 0.6667 0.3333 0.4237
```

## Properties
DFT total energy in hartree per atom: -0.35281
ρ in kg/m3: 7829

## GdBeCo (PBE)

Data for a relaxed GdBeCo crystal. Values from VASP.

Structure (Quantum ESPRESSO input):
```
&SYSTEM
  ibrav = 0, nat = 3, ntyp = 3
/
ATOMIC_SPECIES
Gd 157.25 Gd.upf
Be 9.01 Be.upf
Co 58.93 Co.upf
CELL_PARAMETERS angstrom
0.0000 2.9454 2.9454
2.9454 0.0000 2.9454
2.9454 2.9454 0.0000
ATOMIC_POSITIONS crystal
Gd 0.0000 0.0000 0.0000
Be 0.7500 0.7500 0.7500
Co 0.5000 0.5000 0.5000
```

## Properties
Energy above the most stable polymorph in this dataset in kJ/mol of atoms: 6.8
ρ in kg/m3: 7317

Copy entry 3 word for word.
## Er6Si2Pd (PBE)

Data for a relaxed Er6Si2Pd crystal. Values from VASP.

Structure (Quantum ESPRESSO input):
```
&SYSTEM
  ibrav = 0, nat = 9, ntyp = 3
/
ATOMIC_SPECIES
Er 167.26 Er.upf
Si 28.09 Si.upf
Pd 106.42 Pd.upf
CELL_PARAMETERS angstrom
7.7498 0.0000 0.0000
-3.8749 6.7115 0.0000
0.0000 0.0000 4.2049
ATOMIC_POSITIONS crystal
Er 0.0000 0.2614 0.0000
Er 0.0000 0.5933 0.5000
Er 0.2614 0.0000 0.0000
Er 0.4067 0.4067 0.5000
Er 0.5933 0.0000 0.5000
Er 0.7386 0.7386 0.0000
Si 0.3333 0.6667 0.0000
Si 0.6667 0.3333 0.0000
Pd 0.0000 0.0000 0.5000
```

## Properties
DFT total energy in hartree per atom: -0.19753
ρ in kg/m3: 8854